Entry 1:
Computed, not measured: a relaxed structure of BaCaNi3 at the PBE level of DFT.

Unit cell a=5.059 b=5.059 c=5.059 alpha=90.00 beta=90.00 gamma=90.00
Sites, in units of the cell vectors:
Ni 0.500 0.000 0.000
Ni 0.000 0.500 0.000
Ca 0.500 0.500 0.500
Ba 0.000 0.000 0.000
Ni 0.000 0.000 0.500

Computed properties:
* uncorrected energy: -15.24 eV/cell
* space group: Pm-3m
* calculated volume: 129.5 Å³/cell
* polymorph energy (0 for the lowest one): 192 kJ/mol of formula units
* formation enthalpy at 0 K: 6.0 eV/f.u.

---

Entry 2:
Computed, not measured: a relaxed structure of BaCaNi2 at the PBE level of DFT.

Unit cell a=3.442 b=3.442 c=8.488 alpha=90.00 beta=90.00 gamma=89.99
Sites, in units of the cell vectors:
Ba 0.000 0.000 0.419
Ca 0.500 0.500 0.849
Ni 0.500 0.500 0.153
Ni 0.000 0.000 0.079

Computed properties:
* uncorrected energy: -14.62 eV/cell
* space group: P4mm
* calculated volume: 100.6 Å³/cell
* polymorph energy (0 for the lowest one): 91 kJ/mol of formula units
* formation enthalpy at 0 K: 0.9 eV/f.u.

---

Entry 3:
Computed, not measured: a relaxed structure of BaCaNi2 at the PBE level of DFT.

Unit cell a=4.210 b=4.210 c=6.017 alpha=90.00 beta=90.00 gamma=90.00
Sites, in units of the cell vectors:
Ni 0.000 0.000 0.905
Ni 0.500 0.500 0.340
Ba 0.000 0.000 0.394
Ca 0.500 0.500 0.860

Computed properties:
* uncorrected energy: -14.11 eV/cell
* space group: P4mm
* calculated volume: 106.6 Å³/cell
* polymorph energy (0 for the lowest one): 141 kJ/mol of formula units
* formation enthalpy at 0 K: 1.4 eV/f.u.

---

Entry 4:
Computed, not measured: a relaxed structure of BaCaNi at the PBE level of DFT.

Unit cell a=4.257 b=5.996 c=8.399 alpha=80.17 beta=89.75 gamma=90.00
Sites, in units of the cell vectors:
Ba 0.252 0.706 0.679
Ni 0.250 0.392 0.028
Ca 0.249 0.826 0.136
Ca 0.751 0.174 0.864
Ba 0.748 0.294 0.321
Ni 0.750 0.608 0.972

Computed properties:
* uncorrected energy: -19.80 eV/cell
* space group: P-1
* calculated volume: 211.2 Å³/cell
* polymorph energy (0 for the lowest one): 0 kJ/mol of formula units
* formation enthalpy at 0 K: -0.2 eV/f.u.